# 1
# YMgSi2Pd5, optimized geometry, DFT GGA-PBE
# - magnetization (μB/cell) = 0.0
# - total DFT energy (no corrections) (eV/atom) = -5.735
# - DOS at the Fermi energy (states/eV/f.u.) = 3.11
data_YMgSi2Pd5
_cell_length_a 4.142
_cell_length_b 4.142
_cell_length_c 8.902
_cell_angle_alpha 90.00
_cell_angle_beta 90.00
_cell_angle_gamma 90.00
_space_group_name_H-M_alt 'P 4/m m m'
_space_group_IT_number 123
_space_group_name_Hall '-P 4 2'
loop_
_atom_site_label
_atom_site_fract_x
_atom_site_fract_y
_atom_site_fract_z
Y1 0.000 0.000 0.000
Mg1 0.000 0.000 0.500
Si1 0.500 0.500 0.372
Pd1 0.000 0.500 0.239
Pd2 0.500 0.500 0.000

# 2
# Mg2ZnSiPd, optimized geometry, DFT GGA-PBE
# - magnetization (μB/cell) = 0.0
# - total DFT energy (no corrections) (eV/atom) = -2.882
# - DOS at the Fermi energy (states/eV/f.u.) = 1.19
data_Mg2ZnSiPd
_cell_length_a 4.997
_cell_length_b 4.997
_cell_length_c 4.575
_cell_angle_alpha 90.00
_cell_angle_beta 90.00
_cell_angle_gamma 90.00
_space_group_name_H-M_alt 'P 4/m m m'
_space_group_IT_number 123
_space_group_name_Hall '-P 4 2'
loop_
_atom_site_label
_atom_site_fract_x
_atom_site_fract_y
_atom_site_fract_z
Mg1 0.000 0.500 0.000
Zn1 0.000 0.000 0.500
Si1 0.500 0.500 0.000
Pd1 0.500 0.500 0.500

# 3
# Sm2MgPd2, optimized geometry, DFT GGA-PBE
# - magnetization (μB/cell) = 0.0
# - ΔH_f (0 K) (meV/atom) = -729
# - total DFT energy (no corrections) (eV/atom) = -5.013
# - DOS at the Fermi energy (states/eV/f.u.) = 4.52
data_Sm2MgPd2
_cell_length_a 7.680
_cell_length_b 7.680
_cell_length_c 3.983
_cell_angle_alpha 90.00
_cell_angle_beta 90.00
_cell_angle_gamma 90.00
_space_group_name_H-M_alt 'P 4/m b m'
_space_group_IT_number 127
_space_group_name_Hall '-P 4 2ab'
loop_
_atom_site_label
_atom_site_fract_x
_atom_site_fract_y
_atom_site_fract_z
Sm1 0.171 0.329 0.000
Mg1 0.000 0.000 0.500
Pd1 0.131 0.631 0.500

# 4
# SmMgPd, optimized geometry, DFT GGA-PBE
# - magnetization (μB/cell) = 0.0
# - ΔH_f (0 K) (meV/atom) = -501
# - total DFT energy (no corrections) (eV/atom) = -4.336
# - DOS at the Fermi energy (states/eV/f.u.) = 2.34
data_SmMgPd
_cell_length_a 6.752
_cell_length_b 6.752
_cell_length_c 6.752
_cell_angle_alpha 90.00
_cell_angle_beta 90.00
_cell_angle_gamma 90.00
_space_group_name_H-M_alt 'F -4 3 m'
_space_group_IT_number 216
_space_group_name_Hall 'F -4 2 3'
loop_
_atom_site_label
_atom_site_fract_x
_atom_site_fract_y
_atom_site_fract_z
Sm1 0.000 0.000 0.000
Mg1 0.000 0.000 0.500
Pd1 0.250 0.250 0.250